[1]
TaZn2In: optimized geometry, GGA-PBE.

Results
- Calculated formation energy: 0.138 eV/atom

```
data_TaZn2In
_cell_length_a 2.8863
_cell_length_b 2.8863
_cell_length_c 8.9717
_cell_angle_alpha 90.00
_cell_angle_beta 90.00
_cell_angle_gamma 90.00
_space_group_name_H-M_alt 'P 1'
_space_group_IT_number 1
loop_
_space_group_symop_operation_xyz
'x,y,z'
loop_
_atom_site_label
_atom_site_type_symbol
_atom_site_fract_x
_atom_site_fract_y
_atom_site_fract_z
_atom_site_occupancy
Ta1 Ta 0.0000 0.0000 0.0000 1
Zn1 Zn 0.5000 0.5000 0.2196 1
Zn2 Zn 0.5000 0.5000 0.7804 1
In1 In 0.0000 0.0000 0.5000 1
```

***

[2]
ReTcP2: optimized geometry, GGA-PBE.

Results
- Energy above the lowest structure with this stoichiometry: 0.555 eV/atom
- Calculated formation energy: 0.261 eV/atom

```
data_ReTcP2
_cell_length_a 2.9266
_cell_length_b 3.8245
_cell_length_c 5.0872
_cell_angle_alpha 90.00
_cell_angle_beta 90.00
_cell_angle_gamma 90.00
_space_group_name_H-M_alt 'P 1'
_space_group_IT_number 1
loop_
_space_group_symop_operation_xyz
'x,y,z'
loop_
_atom_site_label
_atom_site_type_symbol
_atom_site_fract_x
_atom_site_fract_y
_atom_site_fract_z
_atom_site_occupancy
Re1 Re 0.0000 0.0000 0.0000 1
Tc1 Tc 0.5000 0.0000 0.5000 1
P1 P 0.0000 0.5000 0.5000 1
P2 P 0.5000 0.5000 0.0000 1
```

***

[3]
Cs2RhWBr6: optimized geometry, GGA-PBE.

Results
- Raw formation energy: -0.65 eV/atom

```
data_Cs2RhWBr6
_cell_length_a 7.5784
_cell_length_b 7.5784
_cell_length_c 7.5784
_cell_angle_alpha 119.52
_cell_angle_beta 119.52
_cell_angle_gamma 90.83
_space_group_name_H-M_alt 'P 1'
_space_group_IT_number 1
loop_
_space_group_symop_operation_xyz
'x,y,z'
loop_
_atom_site_label
_atom_site_type_symbol
_atom_site_fract_x
_atom_site_fract_y
_atom_site_fract_z
_atom_site_occupancy
Cs1 Cs 0.2500 0.7500 0.5000 1
Cs2 Cs 0.7500 0.2500 0.5000 1
Rh1 Rh 0.0000 0.0000 0.0000 1
W1 W 0.5000 0.5000 0.0000 1
Br1 Br 0.2528 0.2528 0.0000 1
Br2 Br 0.2564 0.2564 0.5129 1
Br3 Br 0.2564 0.7436 0.0000 1
Br4 Br 0.7436 0.2564 0.0000 1
Br5 Br 0.7436 0.7436 0.4871 1
Br6 Br 0.7472 0.7472 0.0000 1
```

***

[4]
TcOs2Br: optimized geometry, GGA-PBE.

Results
- Energy above the lowest structure with this stoichiometry: 0.641 eV/atom
- Raw formation energy: 1.33 eV/atom

```
data_TcOs2Br
_cell_length_a 4.7659
_cell_length_b 4.7659
_cell_length_c 4.7659
_cell_angle_alpha 130.10
_cell_angle_beta 130.10
_cell_angle_gamma 73.25
_space_group_name_H-M_alt 'P 1'
_space_group_IT_number 1
loop_
_space_group_symop_operation_xyz
'x,y,z'
loop_
_atom_site_label
_atom_site_type_symbol
_atom_site_fract_x
_atom_site_fract_y
_atom_site_fract_z
_atom_site_occupancy
Tc1 Tc 0.0000 0.0000 0.0000 1
Os1 Os 0.2500 0.7500 0.5000 1
Os2 Os 0.7500 0.2500 0.5000 1
Br1 Br 0.5000 0.5000 0.0000 1
```

***

[5]
Si2SnBI: optimized geometry, GGA-PBE.

Results
- Raw formation energy: 0.81 eV/atom

```
data_Si2SnBI
_cell_length_a 4.3318
_cell_length_b 4.3318
_cell_length_c 5.8177
_cell_angle_alpha 90.00
_cell_angle_beta 90.00
_cell_angle_gamma 90.00
_space_group_name_H-M_alt 'P 1'
_space_group_IT_number 1
loop_
_space_group_symop_operation_xyz
'x,y,z'
loop_
_atom_site_label
_atom_site_type_symbol
_atom_site_fract_x
_atom_site_fract_y
_atom_site_fract_z
_atom_site_occupancy
Si1 Si 0.0000 0.5000 0.0000 1
Si2 Si 0.5000 0.0000 0.0000 1
Sn1 Sn 0.0000 0.0000 0.5000 1
B1 B 0.0000 0.0000 0.0000 1
I1 I 0.5000 0.5000 0.5000 1
```

***

[6]
CaY2MgH: optimized geometry, GGA-PBE.

Results
- Energy above the lowest structure with this stoichiometry: 0.046 eV/atom

```
data_CaY2MgH
_cell_length_a 5.0866
_cell_length_b 5.0866
_cell_length_c 4.7030
_cell_angle_alpha 90.00
_cell_angle_beta 90.00
_cell_angle_gamma 90.00
_space_group_name_H-M_alt 'P 1'
_space_group_IT_number 1
loop_
_space_group_symop_operation_xyz
'x,y,z'
loop_
_atom_site_label
_atom_site_type_symbol
_atom_site_fract_x
_atom_site_fract_y
_atom_site_fract_z
_atom_site_occupancy
Ca1 Ca 0.0000 0.0000 0.0000 1
Y1 Y 0.0000 0.5000 0.5000 1
Y2 Y 0.5000 0.0000 0.5000 1
Mg1 Mg 0.5000 0.5000 0.0000 1
H1 H 0.5000 0.5000 0.5000 1
```

***

[7]
ZrBe2Pt: optimized geometry, GGA-PBE.

Results
- Energy above the lowest structure with this stoichiometry: 0.000 eV/atom
- Calculated formation energy: -0.599 eV/atom

```
data_ZrBe2Pt
_cell_length_a 4.9469
_cell_length_b 4.9469
_cell_length_c 4.9469
_cell_angle_alpha 45.59
_cell_angle_beta 45.59
_cell_angle_gamma 45.59
_space_group_name_H-M_alt 'P 1'
_space_group_IT_number 1
loop_
_space_group_symop_operation_xyz
'x,y,z'
loop_
_atom_site_label
_atom_site_type_symbol
_atom_site_fract_x
_atom_site_fract_y
_atom_site_fract_z
_atom_site_occupancy
Zr1 Zr 0.0000 0.0000 0.0000 1
Be1 Be 0.2068 0.2068 0.2068 1
Be2 Be 0.7932 0.7932 0.7932 1
Pt1 Pt 0.5000 0.5000 0.5000 1
```

***

[8]
LiCo2I: optimized geometry, GGA-PBE.

Results
- Energy above the lowest structure with this stoichiometry: 0.017 eV/atom
- Raw formation energy: 0.49 eV/atom

```
data_LiCo2I
_cell_length_a 10.4802
_cell_length_b 10.4802
_cell_length_c 10.4802
_cell_angle_alpha 159.90
_cell_angle_beta 159.90
_cell_angle_gamma 28.57
_space_group_name_H-M_alt 'P 1'
_space_group_IT_number 1
loop_
_space_group_symop_operation_xyz
'x,y,z'
loop_
_atom_site_label
_atom_site_type_symbol
_atom_site_fract_x
_atom_site_fract_y
_atom_site_fract_z
_atom_site_occupancy
Li1 Li 0.0000 0.0000 0.0000 1
Li2 Li 0.7500 0.2500 0.5000 1
Co1 Co 0.0898 0.6250 0.9648 1
Co2 Co 0.3750 0.3398 0.4648 1
Co3 Co 0.6602 0.1250 0.0352 1
Co4 Co 0.8750 0.9102 0.5352 1
I1 I 0.2500 0.7500 0.5000 1
I2 I 0.5000 0.5000 0.0000 1
```

***

[9]
MgTi2Sb2: optimized geometry, GGA-PBE.

Results
- Energy above the lowest structure with this stoichiometry: 0.473 eV/atom
- Raw formation energy: 0.16 eV/atom

```
data_MgTi2Sb2
_cell_length_a 7.1672
_cell_length_b 7.1672
_cell_length_c 7.1672
_cell_angle_alpha 145.50
_cell_angle_beta 145.50
_cell_angle_gamma 49.59
_space_group_name_H-M_alt 'P 1'
_space_group_IT_number 1
loop_
_space_group_symop_operation_xyz
'x,y,z'
loop_
_atom_site_label
_atom_site_type_symbol
_atom_site_fract_x
_atom_site_fract_y
_atom_site_fract_z
_atom_site_occupancy
Mg1 Mg 0.0000 0.0000 0.0000 1
Ti1 Ti 0.3998 0.3998 0.0000 1
Ti2 Ti 0.6002 0.6002 0.0000 1
Sb1 Sb 0.2500 0.7500 0.5000 1
Sb2 Sb 0.7500 0.2500 0.5000 1
```

***

[10]
SrIrPt: optimized geometry, GGA-PBE.

Results
- Energy above the lowest structure with this stoichiometry: 0.224 eV/atom
- Calculated formation energy: -0.342 eV/atom

```
data_SrIrPt
_cell_length_a 4.3288
_cell_length_b 4.3288
_cell_length_c 4.4873
_cell_angle_alpha 90.00
_cell_angle_beta 90.00
_cell_angle_gamma 120.00
_space_group_name_H-M_alt 'P 1'
_space_group_IT_number 1
loop_
_space_group_symop_operation_xyz
'x,y,z'
loop_
_atom_site_label
_atom_site_type_symbol
_atom_site_fract_x
_atom_site_fract_y
_atom_site_fract_z
_atom_site_occupancy
Sr1 Sr 0.0000 0.0000 0.0000 1
Ir1 Ir 0.6667 0.3333 0.5000 1
Pt1 Pt 0.3333 0.6667 0.5000 1
```

***

[11]
Pr5YSn3: optimized geometry, GGA-PBE.

Results
- Calculated formation energy: -0.563 eV/atom

```
data_Pr5YSn3
_cell_length_a 9.6838
_cell_length_b 9.6838
_cell_length_c 6.8000
_cell_angle_alpha 90.00
_cell_angle_beta 90.00
_cell_angle_gamma 120.00
_space_group_name_H-M_alt 'P 1'
_space_group_IT_number 1
loop_
_space_group_symop_operation_xyz
'x,y,z'
loop_
_atom_site_label
_atom_site_type_symbol
_atom_site_fract_x
_atom_site_fract_y
_atom_site_fract_z
_atom_site_occupancy
Pr1 Pr 0.0000 0.3332 0.2500 1
Pr2 Pr 0.0000 0.6668 0.7500 1
Pr3 Pr 0.3332 0.0000 0.2500 1
Pr4 Pr 0.3332 0.3332 0.7500 1
Pr5 Pr 0.3333 0.6667 0.0000 1
Pr6 Pr 0.3333 0.6667 0.5000 1
Pr7 Pr 0.6668 0.0000 0.7500 1
Pr8 Pr 0.6667 0.3333 0.0000 1
Pr9 Pr 0.6667 0.3333 0.5000 1
Pr10 Pr 0.6668 0.6668 0.2500 1
Y1 Y 0.0000 0.0000 0.0000 1
Y2 Y 0.0000 0.0000 0.5000 1
Sn1 Sn 0.0000 0.3306 0.7500 1
Sn2 Sn 0.0000 0.6694 0.2500 1
Sn3 Sn 0.3306 0.0000 0.7500 1
Sn4 Sn 0.3306 0.3306 0.2500 1
Sn5 Sn 0.6694 0.0000 0.2500 1
Sn6 Sn 0.6694 0.6694 0.7500 1
```

***

[12]
CePmInPd: optimized geometry, GGA-PBE.

Results
- Calculated formation energy: -0.439 eV/atom

```
data_CePmInPd
_cell_length_a 5.2941
_cell_length_b 5.2941
_cell_length_c 5.2941
_cell_angle_alpha 60.00
_cell_angle_beta 60.00
_cell_angle_gamma 60.00
_space_group_name_H-M_alt 'P 1'
_space_group_IT_number 1
loop_
_space_group_symop_operation_xyz
'x,y,z'
loop_
_atom_site_label
_atom_site_type_symbol
_atom_site_fract_x
_atom_site_fract_y
_atom_site_fract_z
_atom_site_occupancy
Ce1 Ce 0.0000 0.0000 0.0000 1
Pm1 Pm 0.5000 0.5000 0.5000 1
In1 In 0.7500 0.7500 0.7500 1
Pd1 Pd 0.2500 0.2500 0.2500 1
```

***

[13]
HgP2Os: optimized geometry, GGA-PBE.

Results
- Calculated formation energy: 0.874 eV/atom

```
data_HgP2Os
_cell_length_a 4.5274
_cell_length_b 4.5274
_cell_length_c 3.2110
_cell_angle_alpha 90.00
_cell_angle_beta 90.00
_cell_angle_gamma 103.42
_space_group_name_H-M_alt 'P 1'
_space_group_IT_number 1
loop_
_space_group_symop_operation_xyz
'x,y,z'
loop_
_atom_site_label
_atom_site_type_symbol
_atom_site_fract_x
_atom_site_fract_y
_atom_site_fract_z
_atom_site_occupancy
Hg1 Hg 0.0000 0.0000 0.0000 1
P1 P 0.0000 0.5000 0.5000 1
P2 P 0.5000 0.0000 0.5000 1
Os1 Os 0.5000 0.5000 0.0000 1
```

***

[14]
Nb4Ni6Rh7: optimized geometry, GGA-PBE.

Results
- Calculated formation energy: -0.166 eV/atom

```
data_Nb4Ni6Rh7
_cell_length_a 6.8044
_cell_length_b 6.8044
_cell_length_c 6.8044
_cell_angle_alpha 109.47
_cell_angle_beta 109.47
_cell_angle_gamma 109.47
_space_group_name_H-M_alt 'P 1'
_space_group_IT_number 1
loop_
_space_group_symop_operation_xyz
'x,y,z'
loop_
_atom_site_label
_atom_site_type_symbol
_atom_site_fract_x
_atom_site_fract_y
_atom_site_fract_z
_atom_site_occupancy
Nb1 Nb 0.0000 0.0000 0.5000 1
Nb2 Nb 0.0000 0.5000 0.0000 1
Nb3 Nb 0.5000 0.0000 0.0000 1
Nb4 Nb 0.5000 0.5000 0.5000 1
Ni1 Ni 0.0000 0.2982 0.2982 1
Ni2 Ni 0.0000 0.7018 0.7018 1
Ni3 Ni 0.2982 0.0000 0.2982 1
Ni4 Ni 0.2982 0.2982 0.0000 1
Ni5 Ni 0.7018 0.0000 0.7018 1
Ni6 Ni 0.7018 0.7018 0.0000 1
Rh1 Rh 0.0000 0.0000 0.0000 1
Rh2 Rh 0.2500 0.5000 0.7500 1
Rh3 Rh 0.2500 0.7500 0.5000 1
Rh4 Rh 0.5000 0.2500 0.7500 1
Rh5 Rh 0.5000 0.7500 0.2500 1
Rh6 Rh 0.7500 0.2500 0.5000 1
Rh7 Rh 0.7500 0.5000 0.2500 1
```

***

[15]
Sc3AgO: optimized geometry, GGA-PBE.

Results
- Energy above the lowest structure with this stoichiometry: 0.392 eV/atom
- Raw formation energy: -0.97 eV/atom

```
data_Sc3AgO
_cell_length_a 6.9582
_cell_length_b 6.9582
_cell_length_c 6.9582
_cell_angle_alpha 127.82
_cell_angle_beta 127.82
_cell_angle_gamma 76.91
_space_group_name_H-M_alt 'P 1'
_space_group_IT_number 1
loop_
_space_group_symop_operation_xyz
'x,y,z'
loop_
_atom_site_label
_atom_site_type_symbol
_atom_site_fract_x
_atom_site_fract_y
_atom_site_fract_z
_atom_site_occupancy
Sc1 Sc 0.1263 0.1263 0.0000 1
Sc2 Sc 0.3650 0.6183 0.7468 1
Sc3 Sc 0.3817 0.1285 0.7468 1
Sc4 Sc 0.3817 0.6350 0.2532 1
Sc5 Sc 0.8715 0.6183 0.2532 1
Sc6 Sc 0.8737 0.8737 0.0000 1
Ag1 Ag 0.6217 0.1217 0.5000 1
Ag2 Ag 0.8783 0.3783 0.5000 1
O1 O 0.2500 0.7500 0.5000 1
O2 O 0.5000 0.5000 0.0000 1
```

***

[16]
TeCF3: optimized geometry, GGA-PBE.

Results
- Energy above the lowest structure with this stoichiometry: 0.000 eV/atom
- Raw formation energy: 0.22 eV/atom

```
data_TeCF3
_cell_length_a 4.4146
_cell_length_b 4.4146
_cell_length_c 4.4146
_cell_angle_alpha 90.00
_cell_angle_beta 90.00
_cell_angle_gamma 90.00
_space_group_name_H-M_alt 'P 1'
_space_group_IT_number 1
loop_
_space_group_symop_operation_xyz
'x,y,z'
loop_
_atom_site_label
_atom_site_type_symbol
_atom_site_fract_x
_atom_site_fract_y
_atom_site_fract_z
_atom_site_occupancy
Te1 Te 0.0000 0.0000 0.0000 1
C1 C 0.5000 0.5000 0.5000 1
F1 F 0.0000 0.0000 0.5000 1
F2 F 0.0000 0.5000 0.0000 1
F3 F 0.5000 0.0000 0.0000 1
```

***

[17]
BaNa5Sn2: optimized geometry, GGA-PBE.

Results
- Calculated formation energy: -0.203 eV/atom

```
data_BaNa5Sn2
_cell_length_a 7.9427
_cell_length_b 7.9427
_cell_length_c 7.9427
_cell_angle_alpha 141.93
_cell_angle_beta 103.56
_cell_angle_gamma 88.76
_space_group_name_H-M_alt 'P 1'
_space_group_IT_number 1
loop_
_space_group_symop_operation_xyz
'x,y,z'
loop_
_atom_site_label
_atom_site_type_symbol
_atom_site_fract_x
_atom_site_fract_y
_atom_site_fract_z
_atom_site_occupancy
Ba1 Ba 0.0000 0.0000 0.0000 1
Na1 Na 0.1445 0.3210 0.8235 1
Na2 Na 0.4975 0.3210 0.1765 1
Na3 Na 0.5000 0.0000 0.5000 1
Na4 Na 0.5025 0.6790 0.8235 1
Na5 Na 0.8555 0.6790 0.1765 1
Sn1 Sn 0.2241 0.7241 0.5000 1
Sn2 Sn 0.7759 0.2759 0.5000 1
```

***

[18]
Tb6Pm3Y2Er: optimized geometry, GGA-PBE.

Results
- Calculated formation energy: 0.016 eV/atom

```
data_Tb6Pm3Y2Er
_cell_length_a 6.2040
_cell_length_b 6.2040
_cell_length_c 11.8664
_cell_angle_alpha 94.98
_cell_angle_beta 94.98
_cell_angle_gamma 119.98
_space_group_name_H-M_alt 'P 1'
_space_group_IT_number 1
loop_
_space_group_symop_operation_xyz
'x,y,z'
loop_
_atom_site_label
_atom_site_type_symbol
_atom_site_fract_x
_atom_site_fract_y
_atom_site_fract_z
_atom_site_occupancy
Tb1 Tb 0.0826 0.4150 0.2473 1
Tb2 Tb 0.2498 0.2498 0.7527 1
Tb3 Tb 0.4150 0.0826 0.2473 1
Tb4 Tb 0.5850 0.9174 0.7527 1
Tb5 Tb 0.7502 0.7502 0.2473 1
Tb6 Tb 0.9174 0.5850 0.7527 1
Pm1 Pm 0.1666 0.8334 0.5000 1
Pm2 Pm 0.5000 0.5000 0.5000 1
Pm3 Pm 0.8334 0.1666 0.5000 1
Y1 Y 0.3333 0.6667 0.0000 1
Y2 Y 0.6667 0.3333 0.0000 1
Er1 Er 0.0000 0.0000 0.0000 1
```

***

[19]
TbY4Ga2: optimized geometry, GGA-PBE.

Results
- Calculated formation energy: -0.124 eV/atom

```
data_TbY4Ga2
_cell_length_a 10.3981
_cell_length_b 10.3981
_cell_length_c 10.3981
_cell_angle_alpha 27.48
_cell_angle_beta 27.48
_cell_angle_gamma 27.48
_space_group_name_H-M_alt 'P 1'
_space_group_IT_number 1
loop_
_space_group_symop_operation_xyz
'x,y,z'
loop_
_atom_site_label
_atom_site_type_symbol
_atom_site_fract_x
_atom_site_fract_y
_atom_site_fract_z
_atom_site_occupancy
Tb1 Tb 0.0000 0.0000 0.0000 1
Y1 Y 0.2023 0.2023 0.2023 1
Y2 Y 0.3968 0.3968 0.3968 1
Y3 Y 0.6032 0.6032 0.6032 1
Y4 Y 0.7977 0.7977 0.7977 1
Ga1 Ga 0.0999 0.0999 0.0999 1
Ga2 Ga 0.9001 0.9001 0.9001 1
```

***

[20]
RhCl3F: optimized geometry, GGA-PBE.

Results
- Energy above the lowest structure with this stoichiometry: 0.597 eV/atom
- Raw formation energy: -0.07 eV/atom

```
data_RhCl3F
_cell_length_a 4.7367
_cell_length_b 4.7367
_cell_length_c 4.7367
_cell_angle_alpha 90.00
_cell_angle_beta 90.00
_cell_angle_gamma 90.00
_space_group_name_H-M_alt 'P 1'
_space_group_IT_number 1
loop_
_space_group_symop_operation_xyz
'x,y,z'
loop_
_atom_site_label
_atom_site_type_symbol
_atom_site_fract_x
_atom_site_fract_y
_atom_site_fract_z
_atom_site_occupancy
Rh1 Rh 0.0000 0.0000 0.0000 1
Cl1 Cl 0.0000 0.0000 0.5000 1
Cl2 Cl 0.0000 0.5000 0.0000 1
Cl3 Cl 0.5000 0.0000 0.0000 1
F1 F 0.5000 0.5000 0.5000 1
```